Material: Tl3MoBr2F6
Method: DFT, PBE+U
State: relaxed

Output
uncorrected energy = -4.22 eV per atom

The structure in CIF format:
```
data_Tl3MoBr2F6
_symmetry_space_group_name_H-M 'C 1 2/m 1'
_symmetry_Int_Tables_number 12
_cell_length_a 16.477
_cell_length_b 8.007
_cell_length_c 5.014
_cell_angle_alpha 90.00
_cell_angle_beta 94.50
_cell_angle_gamma 90.00
loop_
_symmetry_equiv_pos_as_xyz
'x,y,z'
'-x,-y,-z'
'-x,y,-z'
'x,-y,z'
'x+1/2,y+1/2,z'
'-x+1/2,-y+1/2,-z'
'-x+1/2,y+1/2,-z'
'x+1/2,-y+1/2,z'
loop_
_atom_site_label
_atom_site_type_symbol
_atom_site_fract_x
_atom_site_fract_y
_atom_site_fract_z
Tl1 Tl 0.000 0.000 0.000
Tl2 Tl 0.250 0.250 0.500
Mo1 Mo 0.000 0.500 0.500
Br1 Br 0.195 0.000 0.991
F1 F 0.035 0.324 0.742
F2 F 0.110 0.500 0.378
```